Entry 1:
Sm2CoBr, optimized geometry, DFT GGA-PBE; polymorph energy (0 for the lowest one) = 69 kJ/mol of formula units; VASP energy = -20.4 eV/f.u.; density = 7.6 g/cm3; V = 95.59 Å³/cell; formation energy from raw total energies = -12.7 kcal/mol of atoms; SG = P4/mmm (123)
1.0
3.418 0.000 0.000
0.000 3.418 0.000
0.000 0.000 8.184
Sm Co Br
2 1 1
Direct
0.000 0.000 0.206
0.000 0.000 0.794
0.500 0.500 0.000
0.500 0.500 0.500

Entry 2:
Sm3CoBr3, optimized geometry, DFT GGA-PBE; VASP energy = -34.5 eV/f.u.; density = 5.9 g/cm3; V = 422.26 Å³/cell; formation energy from raw total energies = -27.1 kcal/mol of atoms; SG = P2_1/m (11)
1.0
8.778 0.000 0.000
0.000 4.029 0.000
-0.498 0.000 11.939
Sm Co Br
6 2 6
Direct
0.113 0.250 0.336
0.115 0.250 0.878
0.301 0.750 0.115
0.699 0.250 0.885
0.885 0.750 0.122
0.887 0.750 0.664
0.092 0.250 0.113
0.908 0.750 0.887
0.129 0.250 0.610
0.361 0.750 0.366
0.403 0.750 0.870
0.597 0.250 0.130
0.639 0.250 0.634
0.871 0.750 0.390

Entry 3:
Sm6Co2SnBr3, optimized geometry, DFT GGA-PBE; VASP energy = -61.1 eV/f.u.; density = 6.7 g/cm3; V = 341.68 Å³/cell; formation energy from raw total energies = -18.3 kcal/mol of atoms; SG = C2/m (12)
1.0
9.799 -2.019 0.000
9.799 2.019 0.000
-2.798 0.000 8.633
Sm Co Sn Br
6 2 1 3
Direct
0.033 0.033 0.267
0.317 0.317 0.435
0.332 0.332 0.855
0.668 0.668 0.145
0.683 0.683 0.565
0.967 0.967 0.733
0.174 0.174 0.352
0.826 0.826 0.648
0.500 0.500 0.000
0.167 0.167 0.844
0.500 0.500 0.500
0.833 0.833 0.156

Entry 4:
Sm6CoTc2Br3, optimized geometry, DFT GGA-PBE; VASP energy = -67.7 eV/f.u.; density = 7.2 g/cm3; V = 323.58 Å³/cell; formation energy from raw total energies = -12.6 kcal/mol of atoms; SG = C2/m (12)
1.0
3.500 -5.800 0.000
3.500 5.800 0.000
-2.327 0.000 7.970
Sm Co Tc Br
6 1 2 3
Direct
0.063 0.398 0.184
0.233 0.233 0.769
0.398 0.063 0.184
0.602 0.937 0.816
0.767 0.767 0.231
0.937 0.602 0.816
0.000 0.000 0.000
0.373 0.627 0.000
0.627 0.373 0.000
0.179 0.821 0.500
0.500 0.500 0.500
0.821 0.179 0.500

Entry 5:
Sm3CoTeBr, optimized geometry, DFT GGA-PBE; VASP energy = -30.6 eV/f.u.; density = 7.5 g/cm3; V = 316.31 Å³/cell; formation energy from raw total energies = -17.4 kcal/mol of atoms; SG = P2_1/m (11)
1.0
8.077 0.000 0.000
0.000 4.148 0.000
-3.703 0.000 9.441
Sm Co Te Br
6 2 2 2
Direct
0.026 0.250 0.361
0.178 0.250 0.978
0.408 0.750 0.600
0.592 0.250 0.400
0.822 0.750 0.022
0.974 0.750 0.639
0.216 0.250 0.649
0.784 0.750 0.351
0.245 0.750 0.229
0.755 0.250 0.771
0.366 0.750 0.876
0.634 0.250 0.124

Entry 6:
SmTmCoBr, optimized geometry, DFT GGA-PBE; VASP energy = -20.8 eV/f.u.; density = 7.7 g/cm3; V = 298.22 Å³/cell; formation energy from raw total energies = -16.4 kcal/mol of atoms; SG = R3m (160)
1.0
3.864 0.000 0.000
-1.932 3.346 0.000
0.000 0.000 23.059
Sm Tm Co Br
3 3 3 3
Direct
0.000 0.000 0.000
0.333 0.667 0.667
0.667 0.333 0.333
0.000 0.000 0.793
0.333 0.667 0.459
0.667 0.333 0.126
0.000 0.000 0.398
0.333 0.667 0.065
0.667 0.333 0.731
0.000 0.000 0.226
0.333 0.667 0.892
0.667 0.333 0.559

Entry 7:
SmYCoBr, optimized geometry, DFT GGA-PBE; VASP energy = -22.8 eV/f.u.; density = 6.2 g/cm3; V = 305.79 Å³/cell; formation energy from raw total energies = -16.4 kcal/mol of atoms; SG = R3m (160)
1.0
3.904 0.000 0.000
-1.952 3.381 0.000
0.000 0.000 23.172
Sm Y Co Br
3 3 3 3
Direct
0.000 0.000 0.000
0.333 0.667 0.667
0.667 0.333 0.333
0.000 0.000 0.793
0.333 0.667 0.460
0.667 0.333 0.126
0.000 0.000 0.397
0.333 0.667 0.063
0.667 0.333 0.730
0.000 0.000 0.225
0.333 0.667 0.891
0.667 0.333 0.558

Entry 8:
Sm4ZnCoBr2, optimized geometry, DFT GGA-PBE; VASP energy = -36.1 eV/f.u.; density = 6.6 g/cm3; V = 222.28 Å³/cell; formation energy from raw total energies = -15.9 kcal/mol of atoms; SG = P2/m (10)
1.0
7.310 0.000 0.000
0.000 3.961 0.000
-2.434 0.000 7.677
Sm Zn Co Br
4 1 1 2
Direct
0.221 0.000 0.297
0.228 0.500 0.697
0.772 0.500 0.303
0.779 0.000 0.703
0.500 0.500 0.500
0.000 0.000 0.500
0.000 0.500 0.000
0.500 0.000 0.000